Run i
First-principles (GGA-PBE) data for a relaxed structure of La4Ge2I, as listed in Alexandria via LeMat-Bulk.

a = 6.037 Å, b = 6.037 Å, c = 14.439 Å
α = 90.00°, β = 90.00°, γ = 90.00°
Space group I4/mmm (No. 139)
Symmetry-distinct sites (fractional):
La: 0.000 0.000 0.221
La: 0.000 0.500 0.000
Ge: 0.000 0.000 0.416
I: 0.000 0.000 0.000

total magnetization = 0.0 μB per cell

Run ii
First-principles (GGA-PBE) data for a relaxed structure of La4Ge2I, as listed in Alexandria via LeMat-Bulk.

a = 9.424 Å, b = 9.424 Å, c = 9.485 Å
α = 90.00°, β = 90.00°, γ = 90.00°
Space group I-42d (No. 122)
Symmetry-distinct sites (fractional):
La: 0.076 0.173 0.319
Ge: 0.135 0.250 0.625
I: 0.000 0.000 0.000

total magnetization = 0.0 μB per cell

Stability summary: most stable run ii, least stable run i.